CaAc12Pr6 | the Alexandria database | PBE | relaxed; calculated density = 7.26 Mg/m³; spin magnetization = 0.0 μB/f.u.; DOS at the Fermi energy = 30.09 states/eV/cell; ΔE_f = 17.7 kJ/mol of atoms
1.0
9.601 -0.377 -2.677
-3.428 8.976 -2.677
-0.271 -0.377 9.963
Pr Ac Ca
6 12 1
direct
0.308 0.929 0.929
0.692 0.071 0.071
0.929 0.929 0.308
0.071 0.071 0.692
0.071 0.692 0.071
0.929 0.308 0.929
0.208 0.500 0.792
0.374 0.374 0.124
0.626 0.876 0.626
0.500 0.208 0.792
0.792 0.500 0.208
0.208 0.792 0.500
0.124 0.374 0.374
0.792 0.208 0.500
0.626 0.626 0.876
0.500 0.792 0.208
0.374 0.124 0.374
0.876 0.626 0.626
0.000 0.000 0.000